Record 1
The following is a PBE-GGA calculation of crystalline V3BAu at its relaxed geometry, from Alexandria.

Output
Crystal system = cubic
Energy above the most stable polymorph in this dataset = 0.0 meV per atom
Formation energy from the elements = -69 meV per atom

Lattice parameters (Å, degrees): 4.066 4.066 4.066 90.00 90.00 90.00
Site moments in Bohr magnetons follow the coordinates.
Sites, in units of the cell vectors:
B: 0.000 0.000 0.000  -0.03
Au: 0.500 0.500 0.500  0.03
V: 0.000 0.500 0.000  0.39
V: 0.000 0.000 0.500  0.39
V: 0.500 0.000 0.000  0.39

=====

Record 2
The following is a PBE-GGA calculation of crystalline CaTa2P at its relaxed geometry, from Alexandria.

Output
Crystal system = monoclinic
Energy above the most stable polymorph in this dataset = 166.6 meV per atom
Formation energy from the elements = 16 meV per atom

Lattice parameters (Å, degrees): 4.673 4.673 6.562 71.56 71.56 41.40
Sites, in units of the cell vectors:
Ca: 0.555 0.555 0.489
P: 0.235 0.235 0.136
Ta: 0.972 0.972 0.037
Ta: 0.738 0.738 0.838

=====

Record 3
The following is a PBE-GGA calculation of crystalline Ac2TbAuO6 at its relaxed geometry, from Alexandria.

Output
Crystal system = tetragonal
Raw formation energy = -2378.1 meV per atom

Lattice parameters (Å, degrees): 5.906 5.527 5.527 90.00 90.00 90.00
Sites, in units of the cell vectors:
Ac: 0.009 0.500 0.000
Ac: 0.009 0.000 0.500
Tb: 0.543 0.500 0.500
Au: 0.678 0.000 0.000
O: 0.726 0.255 0.255
O: 0.726 0.255 0.745
O: 0.170 0.500 0.500
O: 0.135 0.000 0.000
O: 0.726 0.745 0.745
O: 0.726 0.745 0.255

=====

Record 4
The following is a PBE-GGA calculation of crystalline GeHRuRh2 at its relaxed geometry, from Alexandria.

Output
Crystal system = tetragonal
Electronic total energy = -32.5 eV per cell

Lattice parameters (Å, degrees): 3.870 3.870 3.973 90.00 90.00 90.00
Sites, in units of the cell vectors:
Ru: 0.000 0.000 0.500
Ge: 0.500 0.500 0.500
Rh: 0.000 0.500 0.000
Rh: 0.500 0.000 0.000
H: 0.000 0.000 0.000

=====

Record 5
The following is a PBE-GGA calculation of crystalline MgSc2Ta at its relaxed geometry, from Alexandria.

Output
Crystal system = orthorhombic
Formation energy from the elements = 143 meV per atom

Lattice parameters (Å, degrees): 2.987 2.987 9.711 90.00 90.00 90.54
Sites, in units of the cell vectors:
Mg: 0.500 0.500 0.737
Sc: 0.000 0.000 0.997
Sc: 0.500 0.500 0.272
Ta: 0.000 0.000 0.494

=====

Record 6
The following is a PBE-GGA calculation of crystalline Tb4Zn3Cd at its relaxed geometry, from Alexandria.

Output
Crystal system = orthorhombic
Energy above the most stable polymorph in this dataset = 0.0 meV per atom
Formation energy from the elements = -323 meV per atom

Lattice parameters (Å, degrees): 3.652 5.123 10.235 90.00 90.00 90.00
Sites, in units of the cell vectors:
Zn: 0.500 0.000 0.250
Zn: 0.500 0.500 0.500
Zn: 0.500 0.000 0.750
Tb: 0.000 0.000 0.500
Tb: 0.000 0.500 0.739
Tb: 0.000 0.000 0.000
Tb: 0.000 0.500 0.261
Cd: 0.500 0.500 0.000

=====

Record 7
The following is a PBE-GGA calculation of crystalline PmSmEr at its relaxed geometry, from Alexandria.

Output
Crystal system = orthorhombic
Energy above the most stable polymorph in this dataset = 623.1 meV per atom
Formation energy from the elements = 640 meV per atom

Lattice parameters (Å, degrees): 3.457 8.228 8.228 90.09 90.00 90.00
Sites, in units of the cell vectors:
Er: 0.000 0.000 0.000
Er: 0.500 0.500 0.500
Sm: 0.000 0.739 0.739
Sm: 0.000 0.261 0.261
Pm: 0.500 0.239 0.761
Pm: 0.500 0.761 0.239

=====

Record 8
The following is a PBE-GGA calculation of crystalline K2MoSe at its relaxed geometry, from Alexandria.

Output
Crystal system = orthorhombic
Energy above the most stable polymorph in this dataset = 72.4 meV per atom
Raw formation energy = 303.9 meV per atom

Lattice parameters (Å, degrees): 6.416 6.416 6.416 135.65 123.00 74.95
Site moments in Bohr magnetons follow the coordinates.
Sites, in units of the cell vectors:
K: 0.022 0.022 0.000  0.01
K: 0.710 0.210 0.500  0.01
Mo: 0.414 0.414 0.000  2.94
Se: 0.354 0.854 0.500  -0.01

=====

Record 9
The following is a PBE-GGA calculation of crystalline TbInSnAu at its relaxed geometry, from Alexandria.

Output
Crystal system = cubic
Formation energy from the elements = -381 meV per atom

Lattice parameters (Å, degrees): 5.152 5.152 5.152 60.00 60.00 60.00
Sites, in units of the cell vectors:
Tb: 0.000 0.000 0.000
Au: 0.750 0.750 0.750
Sn: 0.250 0.250 0.250
In: 0.500 0.500 0.500

=====

Record 10
The following is a PBE-GGA calculation of crystalline CaZn2Cl at its relaxed geometry, from Alexandria.

Output
Crystal system = orthorhombic
Energy above the most stable polymorph in this dataset = 235.5 meV per atom
Raw formation energy = -465.8 meV per atom

Lattice parameters (Å, degrees): 4.598 4.598 5.157 90.00 90.00 90.08
Sites, in units of the cell vectors:
Zn: 0.000 0.000 0.996
Zn: 0.000 0.000 0.504
Ca: 0.500 0.500 0.250
Cl: 0.500 0.500 0.750

=====

Record 11
The following is a PBE-GGA calculation of crystalline Ac2Pb3Au6 at its relaxed geometry, from Alexandria.

Output
Crystal system = orthorhombic
Formation energy from the elements = -423 meV per atom

Lattice parameters (Å, degrees): 4.170 8.676 8.676 70.50 90.00 90.00
Sites, in units of the cell vectors:
Ac: 0.000 0.295 0.705
Ac: 0.000 0.705 0.295
Pb: 0.000 0.235 0.235
Pb: 0.000 0.765 0.765
Pb: 0.500 0.000 0.000
Au: 0.500 0.392 0.392
Au: 0.500 0.608 0.608
Au: 0.500 0.951 0.366
Au: 0.500 0.049 0.634
Au: 0.500 0.366 0.951
Au: 0.500 0.634 0.049

=====

Record 12
The following is a PBE-GGA calculation of crystalline SrPtC3 at its relaxed geometry, from Alexandria.

Output
Crystal system = cubic
Energy above the most stable polymorph in this dataset = 0.0 meV per atom
Formation energy from the elements = 1794 meV per atom

Lattice parameters (Å, degrees): 4.157 4.157 4.157 90.00 90.00 90.00
Sites, in units of the cell vectors:
Sr: 0.500 0.500 0.500
C: 0.000 0.500 0.000
C: 0.000 0.000 0.500
C: 0.500 0.000 0.000
Pt: 0.000 0.000 0.000